A plane-wave DFT calculation with GGA-PBEsol was carried out for Y2Ge2Ir after structural relaxation.

a b c (Å): 6.6028 6.6028 4.4112
angles (deg): 90.00 90.00 90.00
Sites, in units of the cell vectors:
Y 0.1748 0.3252 0.0000
Y 0.3252 0.8252 0.0000
Y 0.6748 0.1748 0.0000
Y 0.8252 0.6748 0.0000
Ge 0.1359 0.6359 0.5000
Ge 0.3641 0.1359 0.5000
Ge 0.6359 0.8641 0.5000
Ge 0.8641 0.3641 0.5000
Ir 0.0000 0.0000 0.5000
Ir 0.5000 0.5000 0.5000

Output
total magnetization = 0.0 μB per cell
DOS(E_F) = 0.48 states/eV/atom
energy of formation = -0.946 eV/atom